Arrangement w

Here is a relaxed structure of PmPrAu4 from Alexandria via LeMat-Bulk. Energies are from PBE.

The structure in extended XYZ format:
```
6
Lattice="-2.0005 -2.8334 -1.6722 1.5486 -1.3834 4.9867 -6.8449 0.1820 3.4860" Properties=species:S:1:pos:R:3 pbc="T T T"
Au -4.7916 -2.1942 7.2905
Au -0.9440 -3.2249 4.4519
Au -4.0860 -1.0583 4.5201
Au -3.1994 -2.9767 2.2362
Pm -1.8678 -1.2927 6.7073
Pr -7.0649 -1.9267 5.1212
```


Arrangement x

Here is a relaxed structure of PmPrAu4 from Alexandria via LeMat-Bulk. Energies are from PBE.

The structure in extended XYZ format:
```
6
Lattice="5.7550 0.0000 0.0000 2.8775 4.9840 0.0000 2.8775 1.6613 4.6990" Properties=species:S:1:pos:R:3 pbc="T T T"
Au 5.7550 1.6593 2.9376
Au 4.3145 4.1543 2.9376
Au 7.1955 4.1543 2.9376
Au 5.7550 3.3227 0.5852
Pm 0.0000 0.0000 0.0000
Pr 2.8775 1.6613 1.1747
```


Short version: arrangement x is the least stable of them.


Arrangement w

Here is a relaxed structure of Pm3PrAu2 from Alexandria via LeMat-Bulk. Energies are from PBE.

The structure in extended XYZ format:
```
12
Lattice="-1.2516 -4.9423 -0.3145 6.9362 -1.6520 -1.6435 1.8832 -1.0499 9.0034" Properties=species:S:1:pos:R:3 pbc="T T T"
Au 5.8932 -1.6104 1.8529
Au 6.1306 -4.5902 6.2533
Au 3.0133 -1.1123 5.4863
Au 1.3525 -3.0338 0.8122
Pr 3.9772 -3.9124 4.1719
Pr 0.2321 -2.9319 3.6692
Pm 7.1379 -2.1005 4.6017
Pm 4.2034 -3.7202 0.2523
Pm 1.9992 -3.5988 7.1165
Pm 3.0448 -0.9261 2.4352
Pm 5.1590 -1.7863 7.5384
Pm 7.0184 -1.7154 -0.9742
```


Arrangement x

Here is a relaxed structure of Pm3PrAu2 from Alexandria via LeMat-Bulk. Energies are from PBE.

The structure in extended XYZ format:
```
12
Lattice="-2.5011 -1.2430 6.7393 -3.5126 -6.1564 -2.4391 8.8063 -0.1786 -0.7131" Properties=species:S:1:pos:R:3 pbc="T T T"
Pr 0.0000 0.0000 0.0000
Pr -1.7563 -3.0782 -1.2196
Au 2.8933 -5.6019 -1.5455
Au -0.1007 -1.9761 5.1326
Au 3.6449 -3.0231 2.3812
Au -0.8523 -4.5549 1.2059
Pm 0.9710 -4.2335 3.5279
Pm -2.1287 -2.1606 2.7599
Pm -3.8850 -5.2388 1.5403
Pm 2.7273 -1.1553 4.7475
Pm 1.8216 -3.3445 0.0592
Pm 0.0653 -6.4227 -1.1604
```


Short version: arrangement x is the least stable of them.


Arrangement w

Here is a relaxed structure of PmPrTeAu from Alexandria via LeMat-Bulk. Energies are from PBE.

The structure in extended XYZ format:
```
4
Lattice="4.3104 0.0000 0.0000 2.1552 3.7329 0.0000 2.1552 1.2443 7.6450" Properties=species:S:1:pos:R:3 pbc="T T T"
Au 2.1552 1.2443 1.8760
Pm 6.4656 3.7329 0.1227
Te 6.4656 3.7329 5.7670
Pr 4.3104 2.4886 3.7018
```


Arrangement x

Here is a relaxed structure of PmPrTeAu from Alexandria via LeMat-Bulk. Energies are from PBE.

The structure in extended XYZ format:
```
4
Lattice="5.3792 0.0000 0.0000 2.6896 4.6585 0.0000 2.6896 1.5528 4.3921" Properties=species:S:1:pos:R:3 pbc="T T T"
Pm 2.6896 1.5528 1.0980
Pr 8.0688 4.6585 3.2941
Au 5.3792 3.1057 2.1961
Te 0.0000 0.0000 0.0000
```


Short version: arrangement x is the least stable of them.


Arrangement w

Here is a relaxed structure of PmPrTlAu from Alexandria via LeMat-Bulk. Energies are from PBE.

The structure in extended XYZ format:
```
4
Lattice="5.4083 0.0000 0.0000 2.7042 4.6837 0.0000 2.7042 1.5612 4.4159" Properties=species:S:1:pos:R:3 pbc="T T T"
Au 0.0000 0.0000 0.0000
Tl 5.4083 3.1225 2.2079
Pr 2.7042 1.5612 1.1040
Pm 8.1125 4.6837 3.3119
```


Arrangement x

Here is a relaxed structure of PmPrTlAu from Alexandria via LeMat-Bulk. Energies are from PBE.

The structure in extended XYZ format:
```
4
Lattice="-3.1321 0.7157 1.9044 1.5868 -1.3287 3.1090 2.7223 7.3041 1.7322" Properties=species:S:1:pos:R:3 pbc="T T T"
Pr 2.2846 6.1299 1.4537
Pm 1.0346 2.7758 0.6583
Tl -0.4652 0.5185 2.7024
Au 0.8491 4.0448 3.5386
```


Short version: arrangement w is the least stable of them.


Arrangement w

Here is a relaxed structure of PmPtAu2 from Alexandria via LeMat-Bulk. Energies are from PBE.

The structure in extended XYZ format:
```
8
Lattice="4.3290 -0.4480 0.0000 -1.6390 5.2416 0.0000 0.0000 0.0000 7.7154" Properties=species:S:1:pos:R:3 pbc="T T T"
Pm 2.6142 4.0894 5.7866
Pm 0.0758 0.7042 1.9289
Au 2.2995 1.0947 4.3019
Au 2.2995 1.0947 7.2712
Au 0.3905 3.6989 0.4442
Au 0.3905 3.6989 3.4135
Pt 0.2298 2.2554 5.7866
Pt 2.4602 2.5381 1.9289
```


Arrangement x

Here is a relaxed structure of PmPtAu2 from Alexandria via LeMat-Bulk. Energies are from PBE.

The structure in extended XYZ format:
```
4
Lattice="4.7962 0.0000 0.0000 0.0000 4.1341 0.0000 0.0000 0.0000 4.1341" Properties=species:S:1:pos:R:3 pbc="T T T"
Pt 2.3981 2.0670 2.0670
Au 0.0000 0.0000 2.0670
Au 0.0000 2.0670 0.0000
Pm 2.3981 0.0000 0.0000
```


Arrangement y

Here is a relaxed structure of PmPtAu2 from Alexandria via LeMat-Bulk. Energies are from PBE.

The structure in extended XYZ format:
```
8
Lattice="-3.1135 -2.6248 3.3119 0.5187 -5.2482 0.1458 5.0050 -2.0178 5.0147" Properties=species:S:1:pos:R:3 pbc="T T T"
Pt 2.1153 -5.6010 3.4470
Pt 0.2949 -4.2899 5.0255
Au 2.5666 -5.3589 6.2761
Au 1.8145 -8.0509 7.3286
Au -0.1564 -4.5320 2.1964
Au 0.5957 -1.8399 1.1438
Pm -0.5374 -7.0534 3.9616
Pm 2.9476 -2.8374 4.5108
```


Arrangement z

Here is a relaxed structure of PmPtAu2 from Alexandria via LeMat-Bulk. Energies are from PBE.

The structure in extended XYZ format:
```
4
Lattice="4.8863 0.0000 0.0000 2.4431 4.2316 0.0000 2.4431 1.4105 3.9896" Properties=species:S:1:pos:R:3 pbc="T T T"
Pt 4.8863 2.8211 1.9948
Pm 0.0000 0.0000 0.0000
Au 2.4431 1.4105 0.9974
Au 7.3294 4.2316 2.9922
```


Short version: arrangement x is the least stable of them.


Arrangement w

Here is a relaxed structure of Pm2PtAu from Alexandria via LeMat-Bulk. Energies are from PBE.

The structure in extended XYZ format:
```
8
Lattice="4.6633 0.0000 0.0000 0.0000 5.5031 -2.0021 0.0000 -0.0280 7.7950" Properties=species:S:1:pos:R:3 pbc="T T T"
Pm 1.1658 4.2866 2.8381
Pm 1.1658 4.2212 -0.9612
Pm 3.4974 1.2539 6.7541
Pm 3.4974 1.1885 2.9548
Au 1.1658 1.7644 0.9712
Au 3.4974 3.7107 4.8217
Pt 1.1658 1.7783 4.8533
Pt 3.4974 3.6968 0.9396
```


Arrangement x

Here is a relaxed structure of Pm2PtAu from Alexandria via LeMat-Bulk. Energies are from PBE.

The structure in extended XYZ format:
```
4
Lattice="5.1460 0.0000 0.0000 2.5730 4.4566 0.0000 2.5730 1.4855 4.2017" Properties=species:S:1:pos:R:3 pbc="T T T"
Pm 2.5730 1.4855 1.0504
Pm 7.7190 4.4566 3.1513
Pt 0.0000 0.0000 0.0000
Au 5.1460 2.9711 2.1009
```


Arrangement y

Here is a relaxed structure of Pm2PtAu from Alexandria via LeMat-Bulk. Energies are from PBE.

The structure in extended XYZ format:
```
4
Lattice="4.1960 0.0000 0.0000 2.0980 3.6338 0.0000 2.0980 1.2113 7.1482" Properties=species:S:1:pos:R:3 pbc="T T T"
Pm 2.0980 1.2113 1.6137
Pm 2.0980 1.2113 5.5323
Pt 4.1960 2.4226 0.0220
Au 4.1960 2.4226 3.5542
```


Short version: arrangement y is the least stable of them.


Arrangement w

Here is a relaxed structure of Pm8Pt2Au from Alexandria via LeMat-Bulk. Energies are from PBE.

The structure in extended XYZ format:
```
11
Lattice="5.8852 0.0970 -0.9638 -1.9424 7.0982 -3.1310 0.0005 -0.2403 7.9939" Properties=species:S:1:pos:R:3 pbc="T T T"
Pm 0.3018 2.6225 1.6772
Pm 0.5152 6.3901 2.0685
Pm 3.5182 4.3998 2.2878
Pm 1.0053 4.5387 4.8751
Pm 3.2322 0.6038 1.8949
Pm 4.3262 5.5330 -1.5629
Pm 5.3884 1.5210 4.5193
Pm 2.7410 2.4591 -0.9177
Pt 2.2921 2.0440 4.1806
Pt 1.5217 4.9538 -0.2306
Au 0.6920 0.0386 -0.0954
```


Arrangement x

Here is a relaxed structure of Pm8Pt2Au from Alexandria via LeMat-Bulk. Energies are from PBE.

The structure in extended XYZ format:
```
11
Lattice="5.1693 0.0000 0.0000 0.0000 6.8829 -0.0178 -2.5846 -3.0035 8.9040" Properties=species:S:1:pos:R:3 pbc="T T T"
Pm 0.0000 1.1751 7.2112
Pm 2.5846 -1.0247 3.1337
Pm 2.5847 -1.3523 8.3926
Pm 2.5847 2.7043 1.6749
Pm 0.0000 5.2317 0.4936
Pm 0.0000 4.9041 5.7524
Pm 0.0000 1.1829 3.5928
Pm 2.5846 2.6965 5.2934
Au 2.5846 0.0000 0.0000
Pt 2.5847 -0.1736 5.8628
Pt 0.0000 4.0530 3.0234
```


Short version: arrangement w is the least stable of them.


Arrangement w

Here is a relaxed structure of Pm3PtAu from Alexandria via LeMat-Bulk. Energies are from PBE.

The structure in extended XYZ format:
```
10
Lattice="-1.7576 -3.7039 0.9118 2.8335 0.3331 6.8146 -7.5544 4.3063 2.9307" Properties=species:S:1:pos:R:3 pbc="T T T"
Au -1.8727 -1.9748 2.8774
Au -4.6059 2.9103 7.7797
Pm -6.8366 3.2077 4.6882
Pm -1.5069 0.6473 4.5610
Pm -3.5821 0.4515 9.4380
Pm -2.8965 0.4840 1.2191
Pm -4.9716 0.2881 6.0961
Pm 0.3581 -2.2723 5.9690
Pt -4.1774 1.6919 3.6565
Pt -2.3011 -0.7564 7.0006
```


Arrangement x

Here is a relaxed structure of Pm3PtAu from Alexandria via LeMat-Bulk. Energies are from PBE.

The structure in extended XYZ format:
```
20
Lattice="4.7301 0.0000 0.0000 0.0000 7.4580 0.0000 0.0000 0.0000 15.6175" Properties=species:S:1:pos:R:3 pbc="T T T"
Pt 3.5476 5.4488 0.7007
Pt 1.1825 2.0092 14.9167
Pt 3.5476 1.7198 7.1080
Pt 1.1825 5.7382 8.5095
Pm 1.1825 1.3452 12.1036
Pm 1.1825 5.0742 11.3226
Pm 1.1825 0.0963 6.1619
Pm 3.5476 4.7120 6.9434
Pm 3.5476 0.9830 0.8654
Pm 1.1825 6.4750 14.7521
Pm 3.5476 3.6327 13.9707
Pm 3.5476 6.1128 3.5139
Pm 1.1825 2.7460 8.6741
Pm 3.5476 2.3838 4.2949
Pm 1.1825 3.8253 1.6468
Pm 3.5476 7.3618 9.4555
Au 3.5476 6.6287 12.6009
Au 3.5476 2.8997 10.8253
Au 1.1825 0.8293 3.0165
Au 1.1825 4.5584 4.7922
```


Short version: arrangement w is the least stable of them.


Arrangement w

Here is a relaxed structure of SrPmPtAu from Alexandria via LeMat-Bulk. Energies are from PBE.

The structure in extended XYZ format:
```
4
Lattice="5.2069 0.0000 0.0000 2.6034 4.5093 0.0000 2.6034 1.5031 4.2514" Properties=species:S:1:pos:R:3 pbc="T T T"
Sr 5.2069 3.0062 2.1257
Pt 7.8103 4.5093 3.1886
Au 2.6034 1.5031 1.0629
Pm 0.0000 0.0000 0.0000
```


Arrangement x

Here is a relaxed structure of SrPmPtAu from Alexandria via LeMat-Bulk. Energies are from PBE.

The structure in extended XYZ format:
```
4
Lattice="-1.8921 0.2591 -3.5636 1.7843 -3.9964 -1.2379 -3.6016 -2.8467 3.9988" Properties=species:S:1:pos:R:3 pbc="T T T"
Au -0.7738 -2.2988 -2.0498
Pm -3.3900 -3.8619 -0.7743
Sr -1.2994 -0.7764 0.6335
Pt -3.7399 -2.2345 1.8233
```


Short version: arrangement w is the least stable of them.


Arrangement w

Here is a relaxed structure of TbPmPtAu from Alexandria via LeMat-Bulk. Energies are from PBE.

The structure in extended XYZ format:
```
4
Lattice="-2.0774 2.6025 1.9292 -3.8384 -2.5197 -0.7340 1.9311 -4.0018 3.6393" Properties=species:S:1:pos:R:3 pbc="T T T"
Pt 0.7337 -2.2204 3.7853
Pm 0.2488 -0.7528 1.2834
Au -2.8047 -0.4220 1.3877
Tb -2.3087 -1.9230 3.9467
```


Arrangement x

Here is a relaxed structure of TbPmPtAu from Alexandria via LeMat-Bulk. Energies are from PBE.

The structure in extended XYZ format:
```
4
Lattice="-2.1594 -3.5319 -2.9662 -2.9472 -3.6037 2.0647 -5.0311 0.0652 -0.7869" Properties=species:S:1:pos:R:3 pbc="T T T"
Pt -7.6032 -5.3028 -1.2663
Tb -5.0688 -3.5352 -0.8442
Au -2.5344 -1.7676 -0.4221
Pm 0.0000 0.0000 0.0000
```


Short version: arrangement x is the least stable of them.


Arrangement w

Here is a relaxed structure of PmThPtAu from Alexandria via LeMat-Bulk. Energies are from PBE.

The structure in extended XYZ format:
```
4
Lattice="-3.8033 0.7478 3.4202 -4.4632 -2.5603 -0.4968 -1.2261 -3.7329 3.3592" Properties=species:S:1:pos:R:3 pbc="T T T"
Au -7.1195 -4.1591 4.7120
Pm 0.0000 0.0000 0.0000
Th -4.7463 -2.7727 3.1413
Pt -2.3732 -1.3864 1.5707
```


Arrangement x

Here is a relaxed structure of PmThPtAu from Alexandria via LeMat-Bulk. Energies are from PBE.

The structure in extended XYZ format:
```
4
Lattice="-3.4683 1.7576 0.4227 -0.6070 -2.1362 3.9023 4.2836 3.4825 2.5727" Properties=species:S:1:pos:R:3 pbc="T T T"
Pt 2.0512 3.5089 2.2399
Th -0.1583 3.0257 4.2148
Pm 0.7280 1.2454 0.7950
Au -1.5973 0.5639 2.6433
```


Short version: arrangement w is the least stable of them.


Arrangement w

Here is a relaxed structure of PmTmPtAu from Alexandria via LeMat-Bulk. Energies are from PBE.

The structure in extended XYZ format:
```
4
Lattice="-0.5658 -2.7021 -2.6092 -1.2917 -2.9482 3.3334 -4.8142 2.9553 0.7484" Properties=species:S:1:pos:R:3 pbc="T T T"
Au -1.8009 -2.5507 0.2669
Tm -4.6383 -1.6576 -0.0427
Pm -1.4268 0.4491 -0.1557
Pt -4.1856 1.3174 -0.4568
```


Arrangement x

Here is a relaxed structure of PmTmPtAu from Alexandria via LeMat-Bulk. Energies are from PBE.

The structure in extended XYZ format:
```
4
Lattice="5.0518 0.0000 0.0000 2.5259 4.3750 0.0000 2.5259 1.4583 4.1248" Properties=species:S:1:pos:R:3 pbc="T T T"
Tm 7.5777 4.3750 3.0936
Au 0.0000 0.0000 0.0000
Pt 5.0518 2.9166 2.0624
Pm 2.5259 1.4583 1.0312
```


Short version: arrangement x is the least stable of them.